SiNiBr: relaxed, PBE.

Structure (extended XYZ):
```
3
Lattice="-1.061 5.938 1.892 -3.231 3.846 3.351 2.270 0.917 2.285" Properties=species:S:1:pos:R:3 pbc="T T T"
Ni -2.212 6.974 4.305
Si 0.470 3.350 3.096
Br 1.991 1.294 2.410
```

Output
Uncorrected energy = -4.076 eV per atom
Mass density = 4552 kg/m³
E above lowest polymorph = 280 meV/atom
Formation energy without anion corrections = 217 meV/atom
Space group = Fmm2, No. 42